Material: Pa2GeSe5
Method: DFT, GGA-PBE
State: relaxed

Output
Density of states at the Fermi level, states/eV/atom: 0.79
Space group: No. 55
Total moment, μB/cell: 2.686
E_form (uncorrected), eV/atom: -1.05

Cell lengths 3.9524, 7.9020, 12.1544 Å; angles 90.00, 90.00, 90.00 degrees
Sites, in units of the cell vectors:
Pa 0.5000 0.5192 0.1792
Pa 0.5000 0.4808 0.8208
Pa 0.5000 0.9808 0.6792
Pa 0.5000 0.0192 0.3208
Ge 0.0000 0.5000 0.5000
Ge 0.0000 0.0000 0.0000
Se 0.0000 0.0000 0.5000
Se 0.0000 0.5000 0.0000
Se 0.0000 0.8171 0.1930
Se 0.0000 0.1829 0.8070
Se 0.0000 0.6829 0.6930
Se 0.0000 0.3171 0.3070
Se 0.5000 0.6667 0.3947
Se 0.5000 0.3333 0.6053
Se 0.5000 0.8333 0.8947
Se 0.5000 0.1667 0.1053

Material: Sc4CuPd7
Method: DFT, GGA-PBE
State: relaxed

Output
Density of states at the Fermi level, states/eV/atom: 0.50
Space group: No. 12
Total moment, μB/cell: 0.000
Formation enthalpy at 0 K, eV per formula unit: -6.6

Cell lengths 4.8760, 9.0114, 5.7521 Å; angles 78.87, 64.92, 74.30 degrees
Sites, in units of the cell vectors:
Sc 0.5891 0.2154 0.6063
Sc 0.4109 0.7846 0.3937
Sc 0.7880 0.6425 0.7815
Sc 0.2120 0.3575 0.2185
Cu 0.0000 0.0000 0.0000
Pd 0.7949 0.9120 0.4983
Pd 0.2051 0.0880 0.5017
Pd 0.0793 0.6953 0.1461
Pd 0.9207 0.3047 0.8539
Pd 0.3680 0.5146 0.7493
Pd 0.5000 0.0000 0.0000
Pd 0.6320 0.4854 0.2507